No. 1
First-principles (PBE) data for a relaxed PmSmPa crystal, as listed in the Alexandria database.

Cell: 8.1767 8.1767 8.1767 Å, 155.79 155.79 34.51°
Fractional positions:
Pm 0.0000 0.0000 0.0000
Sm 0.3083 0.3083 0.0000
Pa 0.6546 0.6546 0.0000

Computed properties:
uncorrected energy: -6.144 eV per atom
density: 9.514 g/cm3
energy above the lowest structure with this stoichiometry: 0.013 eV per atom
DOS at the Fermi energy: 1.54 states/eV per atom
formation enthalpy at 0 K: 0.53 eV/f.u.


No. 2
First-principles (PBE) data for a relaxed LaSm2DySe6 crystal, as listed in the Alexandria database.

Cell: 7.8400 7.8400 7.8400 Å, 56.41 56.41 56.41°
Fractional positions:
La 0.0000 0.0000 0.0000
Sm 0.2934 0.2934 0.2934
Sm 0.7976 0.7976 0.7976
Dy 0.4937 0.4937 0.4937
Se 0.0954 0.6829 0.4098
Se 0.2060 0.5933 0.8874
Se 0.4098 0.0954 0.6829
Se 0.5933 0.8874 0.2060
Se 0.6829 0.4098 0.0954
Se 0.8874 0.2060 0.5933

Computed properties:
uncorrected energy: -5.864 eV per atom
density: 5.718 g/cm3
DOS at the Fermi energy: 0.00 states/eV per atom


No. 3
First-principles (PBE) data for a relaxed Li2PmCd5 crystal, as listed in the Alexandria database.

Cell: 7.3761 7.3761 7.3761 Å, 151.01 111.82 75.74°
Fractional positions:
Li 0.2457 0.2457 0.0000
Li 0.7543 0.7543 0.0000
Pm 0.5000 0.0000 0.5000
Cd 0.0000 0.0000 0.0000
Cd 0.0775 0.3602 0.7173
Cd 0.3571 0.6398 0.7173
Cd 0.6429 0.3602 0.2827
Cd 0.9225 0.6398 0.2827

Computed properties:
uncorrected energy: -1.821 eV per atom
density: 6.734 g/cm3
energy above the lowest structure with this stoichiometry: 0.072 eV per atom
DOS at the Fermi energy: 0.48 states/eV per atom
formation enthalpy at 0 K: -1.41 eV/f.u.